The following is a GGA+U calculation of HfScV2O6 after structural relaxation, from the Alexandria database.

The structure in CIF format:
```
data_HfScV2O6
_space_group_name_H-M_alt 'R 3'
_space_group_IT_number 146
_space_group_name_Hall 'R 3'
_cell_length_a 5.3053
_cell_length_b 5.3053
_cell_length_c 14.4239
_cell_angle_alpha 90.00
_cell_angle_beta 90.00
_cell_angle_gamma 120.00
loop_
_atom_site_label
_atom_site_type_symbol
_atom_site_fract_x
_atom_site_fract_y
_atom_site_fract_z
Hf1 Hf 0.0000 0.0000 0.0000
Sc1 Sc 0.0000 0.0000 0.5004
V1 V 0.0000 0.0000 0.2953
V2 V 0.0000 0.0000 0.7961
O1 O 0.0033 0.3143 0.3958
O2 O 0.0447 0.6727 0.5608
```

Results
VASP energy: -8.88 eV/atom